A plane-wave DFT calculation with PBE was carried out for a relaxed In5Hg6Sb crystal.

abc: 8.9412 11.0814 6.7719
angles: 90.00 103.07 90.00
Space group C2/m (No. 12)
Inequivalent atoms, fractional coordinates:
In 0.0000 0.0000 0.0000 (multiplicity 2)
In 0.0000 0.1787 0.5000 (multiplicity 4)
In 0.0000 0.3414 0.0000 (multiplicity 4)
Hg 0.2388 0.0000 0.7345 (multiplicity 4)
Hg 0.2451 0.1656 0.2453 (multiplicity 8)
Sb 0.0000 0.5000 0.5000 (multiplicity 2)

Calculated values
total DFT energy (no corrections)	-38.45	eV per cell
formation energy from raw total energies	34	meV/atom
ρ	9.7	g cm⁻³